# TbDy5ThSc2 | Alexandria via LeMat-Bulk | PBE | relaxed
data_TbDy5ThSc2
_space_group_name_H-M_alt 'C m c 21'
_space_group_IT_number 36
_cell_length_a 5.605
_cell_length_b 21.222
_cell_length_c 9.407
_cell_angle_alpha 90.00
_cell_angle_beta 90.00
_cell_angle_gamma 90.00
loop_
_space_group_symop_operation_xyz
'x,y,z'
'-x,-y,z+1/2'
'-x,y,z'
'x,-y,z+1/2'
'x+1/2,y+1/2,z'
'-x+1/2,-y+1/2,z+1/2'
'-x+1/2,y+1/2,z'
'x+1/2,-y+1/2,z+1/2'
loop_
_atom_site_label
_atom_site_type_symbol
_atom_site_fract_x
_atom_site_fract_y
_atom_site_fract_z
_atom_site_occupancy
Tb1 Tb 0.000 0.097 0.000 1
Dy1 Dy 0.000 0.031 0.326 1
Dy2 Dy 0.000 0.110 0.622 1
Dy3 Dy 0.000 0.195 0.295 1
Dy4 Dy 0.000 0.234 0.913 1
Dy5 Dy 0.000 0.491 0.594 1
Th1 Th 0.000 0.315 0.603 1
Sc1 Sc 0.000 0.365 0.287 1
Sc2 Sc 0.000 0.387 0.902 1
# Formation enthalpy at 0 K ... 175 meV/atom
# Volume ... 280 Å³/f.u.